[1]
VASP calculation (GGA-PBE) on a relaxed Sm2LuCu4Ge4 crystal.

Results
Space group: Immm
Final energy in eV/f.u.: -53.95

The structure in extended XYZ format:
```
11
Lattice="-2.124 3.298 7.002 2.124 -3.298 7.002 2.124 3.298 -7.002" Properties=species:S:1:pos:R:3 pbc="T T T"
Cu 0.000 2.053 4.636
Cu 0.000 2.053 9.369
Cu 2.124 1.245 -2.366
Cu 2.124 1.245 2.366
Ge 0.000 0.000 3.001
Ge 0.000 0.000 11.004
Ge 0.000 1.300 7.002
Ge 2.124 1.998 0.000
Lu 0.000 0.000 0.000
Sm 0.000 3.298 1.827
Sm 2.124 0.000 5.176
```

[2]
VASP calculation (GGA-PBE) on a relaxed YCuPdPb crystal.

Results
Space group: F-43m
Distance to the lowest polymorph of the same formula in meV per atom: 184

The structure in extended XYZ format:
```
4
Lattice="0.139 -3.397 -3.483 2.148 -4.282 0.861 -2.693 -4.032 0.424" Properties=species:S:1:pos:R:3 pbc="T T T"
Cu -0.304 -8.783 -1.648
Pb 0.000 0.000 0.000
Pd -0.203 -5.855 -1.099
Y -0.101 -2.928 -0.549
```

[3]
VASP calculation (GGA-PBE) on a relaxed LiZnIr2 crystal.

Results
Space group: P3m1
Final energy in eV/f.u.: -19.40

The structure in extended XYZ format:
```
4
Lattice="-0.070 4.136 0.024 -2.101 -2.121 2.864 4.016 0.051 2.984" Properties=species:S:1:pos:R:3 pbc="T T T"
Ir 2.067 0.009 4.512
Ir 3.210 2.101 3.911
Li 0.836 0.011 0.621
Zn 0.100 -0.016 3.050
```